Entry 1:
CdFe3Hg SCAN PBEsol geometry; formation energy from the elements = 1.304 eV/atom
1.0
4.752 0.000 0.000
0.000 4.752 0.000
0.000 0.000 4.752
Cd Fe Hg
1 3 1
direct
0.000 0.000 0.000
0.000 0.500 0.500
0.500 0.000 0.500
0.500 0.500 0.000
0.500 0.500 0.500

***

Entry 2:
CrIrPt SCAN PBEsol geometry; formation energy from the elements = -0.045 eV/atom
1.0
5.687 0.000 0.000
0.000 5.687 0.000
0.000 0.000 5.687
Cr Ir Pt
4 4 4
direct
0.000 0.000 0.000
0.000 0.500 0.500
0.500 0.000 0.500
0.500 0.500 0.000
0.250 0.250 0.250
0.250 0.750 0.750
0.750 0.250 0.750
0.750 0.750 0.250
0.250 0.250 0.750
0.250 0.750 0.250
0.750 0.250 0.250
0.750 0.750 0.750

***

Entry 3:
ScNi4Sn SCAN PBEsol geometry; formation energy from the elements = -0.399 eV/atom
1.0
0.000 3.402 3.402
3.402 0.000 3.402
3.402 3.402 0.000
Sc Ni Sn
1 4 1
direct
0.000 0.000 0.000
0.375 0.375 0.375
0.375 0.375 0.875
0.375 0.875 0.375
0.875 0.375 0.375
0.750 0.750 0.750